Entry 1:
Density functional theory data (PBE) for a relaxed structure of BeP2Pd.

The space group is I-42d (No. 122) and the conventional cell measures 5.2494, 5.2494 and 9.8765 Å, with angles of 90.00, 90.00 and 90.00 degrees. Symmetry generates all atoms from Be at (0.0000, 0.0000, 0.0000), P at (0.2168, 0.2500, 0.1250) and Pd at (0.0000, 0.0000, 0.5000).

For the calculated formation energy, the calculation gives -0.015 eV per atom.

---

Entry 2:
Density functional theory data (PBE) for a relaxed structure of YSc2Sn2.

The space group is R-3m (No. 166, hexagonal axes) and the conventional cell measures 4.9725, 4.9725 and 17.2019 Å, with angles of 90.00, 90.00 and 120.00 degrees. Symmetry generates all atoms from Y at (0.0000, 0.0000, 0.0000), Sc at (0.0000, 0.0000, 0.2041) and Sn at (0.0000, 0.0000, 0.4104).

The energy above the most stable polymorph in this dataset is 10 meV per atom. For the calculated formation energy, the calculation gives -0.561 eV per atom.

---

Entry 3:
Density functional theory data (PBE) for a relaxed structure of TcPbSe2.

The space group is Fm-3m (No. 225) and the conventional cell measures 6.8519, 6.8519 and 6.8519 Å, with angles of 90.00, 90.00 and 90.00 degrees. Symmetry generates all atoms from Tc at (0.0000, 0.0000, 0.0000), Pb at (0.0000, 0.0000, 0.5000) and Se at (0.2500, 0.2500, 0.2500).

The energy above the most stable polymorph in this dataset is 543 meV per atom. Its formation energy (no corrections) is 0.383 eV/atom.

---

Entry 4:
Density functional theory data (PBE) for a relaxed structure of CaLa4Sm4.

The space group is I4/mmm (No. 139) and the conventional cell measures 11.1026, 11.1026 and 5.2518 Å, with angles of 90.00, 90.00 and 90.00 degrees. Symmetry generates all atoms from Ca at (0.0000, 0.0000, 0.0000), La at (0.1746, 0.1746, 0.5000) and Sm at (0.0000, 0.3380, 0.0000).

For the calculated formation energy, the calculation gives 0.034 eV per atom.

---

Entry 5:
Density functional theory data (PBE) for a relaxed structure of CaLu3.

The space group is Imm2 (No. 44) and the conventional cell measures 3.5493, 11.4359 and 6.1866 Å, with angles of 90.00, 90.00 and 90.00 degrees. Symmetry generates all atoms from Ca at (0.0000, 0.0000, 0.0000), Lu at (0.0000, 0.2388, 0.6598) and Lu at (0.0000, 0.5000, 0.9965).

For the calculated formation energy, the calculation gives 0.109 eV per atom.

---

Entry 6:
Density functional theory data (PBE) for a relaxed structure of Pm2SbAs.

The space group is C2/m (No. 12) and the conventional cell measures 7.5340, 4.3515 and 7.6062 Å, with angles of 90.00, 109.34 and 90.00 degrees. Symmetry generates all atoms from Pm at (0.2446, 0.0000, 0.2338), Sb at (0.0000, 0.0000, 0.5000) and As at (0.0000, 0.5000, 0.0000).

The energy above the most stable polymorph in this dataset is 0 meV per atom. Its formation energy (no corrections) is -1.342 eV/atom.